(1)
DFT (GGA-PBE) results for a relaxed structure of K4Na2Cl.

Summary:
E_form (uncorrected)	-465	meV/atom
symmetry	I4/mmm (139)

The structure in CIF format:
```
data_K4Na2Cl
_cell_length_a 6.151
_cell_length_b 6.151
_cell_length_c 11.113
_cell_angle_alpha 106.07
_cell_angle_beta 106.07
_cell_angle_gamma 90.00
_symmetry_space_group_name_H-M 'P 1'
_symmetry_Int_Tables_number 1
loop_
_symmetry_equiv_pos_as_xyz
'x,y,z'
loop_
_atom_site_label
_atom_site_type_symbol
_atom_site_fract_x
_atom_site_fract_y
_atom_site_fract_z
Na1 Na 0.356 0.356 0.712
K1 K 0.836 0.836 0.671
K2 K 0.164 0.164 0.329
K3 K 0.000 0.500 0.000
Na2 Na 0.644 0.644 0.288
Cl1 Cl 0.000 0.000 0.000
K4 K 0.500 0.000 0.000
```

---

(2)
DFT (GGA-PBE) results for a relaxed structure of Si2Ni4Pt.

Summary:
E_form (uncorrected)	-459	meV/atom
energy relative to the lowest polymorph listed for this composition	0	meV per atom
symmetry	Pnma (62)

The structure in CIF format:
```
data_Si2Ni4Pt
_cell_length_a 3.605
_cell_length_b 6.390
_cell_length_c 14.826
_cell_angle_alpha 90.00
_cell_angle_beta 90.00
_cell_angle_gamma 90.00
_symmetry_space_group_name_H-M 'P 1'
_symmetry_Int_Tables_number 1
loop_
_symmetry_equiv_pos_as_xyz
'x,y,z'
loop_
_atom_site_label
_atom_site_type_symbol
_atom_site_fract_x
_atom_site_fract_y
_atom_site_fract_z
Ni1 Ni 0.250 0.369 0.034
Ni2 Ni 0.750 0.631 0.966
Si1 Si 0.750 0.251 0.955
Si2 Si 0.250 0.751 0.545
Pt1 Pt 0.750 0.582 0.145
Ni3 Ni 0.750 0.998 0.067
Si3 Si 0.750 0.417 0.726
Ni4 Ni 0.250 0.884 0.188
Ni5 Ni 0.250 0.498 0.433
Si4 Si 0.250 0.749 0.045
Ni6 Ni 0.750 0.116 0.812
Ni7 Ni 0.250 0.131 0.534
Pt2 Pt 0.750 0.918 0.645
Ni8 Ni 0.750 0.384 0.312
Pt3 Pt 0.250 0.418 0.855
Ni9 Ni 0.250 0.616 0.688
Pt4 Pt 0.250 0.082 0.355
Ni10 Ni 0.250 0.002 0.933
Ni11 Ni 0.750 0.720 0.811
Ni12 Ni 0.750 0.780 0.311
Ni13 Ni 0.250 0.280 0.189
Si5 Si 0.750 0.249 0.455
Ni14 Ni 0.750 0.502 0.567
Si6 Si 0.250 0.917 0.774
Ni15 Ni 0.250 0.220 0.689
Ni16 Ni 0.750 0.869 0.466
Si7 Si 0.750 0.083 0.226
Si8 Si 0.250 0.583 0.274
```

---

(3)
DFT (GGA-PBE) results for a relaxed structure of Co2PdW.

Summary:
formation energy	510	meV per atom
energy relative to the lowest polymorph listed for this composition	432	meV per atom
symmetry	I-42d (122)

The structure in CIF format:
```
data_Co2PdW
_cell_length_a 6.572
_cell_length_b 6.572
_cell_length_c 5.345
_cell_angle_alpha 52.07
_cell_angle_beta 52.07
_cell_angle_gamma 90.00
_symmetry_space_group_name_H-M 'P 1'
_symmetry_Int_Tables_number 1
loop_
_symmetry_equiv_pos_as_xyz
'x,y,z'
loop_
_atom_site_label
_atom_site_type_symbol
_atom_site_fract_x
_atom_site_fract_y
_atom_site_fract_z
W1 W 0.000 0.000 0.000
Pd1 Pd 0.250 0.750 0.500
Co1 Co 0.100 0.625 0.250
Co2 Co 0.650 0.125 0.250
Pd2 Pd 0.500 0.500 0.000
Co3 Co 0.875 0.900 0.750
Co4 Co 0.375 0.350 0.750
W2 W 0.750 0.250 0.500
```

---

(4)
DFT (GGA-PBE) results for a relaxed structure of TbSmZnSn.

Summary:
formation energy	-512	meV per atom
symmetry	F-43m (216)

The structure in CIF format:
```
data_TbSmZnSn
_cell_length_a 5.246
_cell_length_b 5.246
_cell_length_c 5.246
_cell_angle_alpha 60.00
_cell_angle_beta 60.00
_cell_angle_gamma 60.00
_symmetry_space_group_name_H-M 'P 1'
_symmetry_Int_Tables_number 1
loop_
_symmetry_equiv_pos_as_xyz
'x,y,z'
loop_
_atom_site_label
_atom_site_type_symbol
_atom_site_fract_x
_atom_site_fract_y
_atom_site_fract_z
Sn1 Sn 0.500 0.500 0.500
Tb1 Tb 0.250 0.250 0.250
Sm1 Sm 0.750 0.750 0.750
Zn1 Zn 0.000 0.000 0.000
```

---

(5)
DFT (GGA-PBE) results for a relaxed structure of MnFe2B.

Summary:
formation energy	-103	meV per atom
symmetry	P4/mmm (123)

The structure in CIF format:
```
data_MnFe2B
_cell_length_a 2.495
_cell_length_b 2.495
_cell_length_c 5.968
_cell_angle_alpha 90.00
_cell_angle_beta 90.00
_cell_angle_gamma 90.00
_symmetry_space_group_name_H-M 'P 1'
_symmetry_Int_Tables_number 1
loop_
_symmetry_equiv_pos_as_xyz
'x,y,z'
loop_
_atom_site_label
_atom_site_type_symbol
_atom_site_fract_x
_atom_site_fract_y
_atom_site_fract_z
Fe1 Fe 0.000 0.000 0.795
Mn1 Mn 0.500 0.500 0.500
Fe2 Fe 0.000 0.000 0.205
B1 B 0.500 0.500 0.000
```

---

(6)
DFT (GGA-PBE) results for a relaxed structure of Y2TcRu.

Summary:
formation energy	177	meV per atom
symmetry	I-4m2 (119)

The structure in CIF format:
```
data_Y2TcRu
_cell_length_a 5.806
_cell_length_b 5.806
_cell_length_c 5.806
_cell_angle_alpha 139.50
_cell_angle_beta 139.50
_cell_angle_gamma 58.62
_symmetry_space_group_name_H-M 'P 1'
_symmetry_Int_Tables_number 1
loop_
_symmetry_equiv_pos_as_xyz
'x,y,z'
loop_
_atom_site_label
_atom_site_type_symbol
_atom_site_fract_x
_atom_site_fract_y
_atom_site_fract_z
Tc1 Tc 0.750 0.250 0.500
Ru1 Ru 0.500 0.500 0.000
Y1 Y 0.000 0.000 0.000
Y2 Y 0.250 0.750 0.500
```

---

(7)
DFT (GGA-PBE) results for a relaxed structure of AsIrOs3.

Summary:
formation energy	2383	meV per atom
energy relative to the lowest polymorph listed for this composition	467	meV per atom
symmetry	Pm-3m (221)

The structure in CIF format:
```
data_AsIrOs3
_cell_length_a 4.715
_cell_length_b 4.715
_cell_length_c 4.715
_cell_angle_alpha 90.00
_cell_angle_beta 90.00
_cell_angle_gamma 90.00
_symmetry_space_group_name_H-M 'P 1'
_symmetry_Int_Tables_number 1
loop_
_symmetry_equiv_pos_as_xyz
'x,y,z'
loop_
_atom_site_label
_atom_site_type_symbol
_atom_site_fract_x
_atom_site_fract_y
_atom_site_fract_z
As1 As 0.500 0.500 0.500
Os1 Os 0.000 0.000 0.500
Ir1 Ir 0.000 0.000 0.000
Os2 Os 0.500 0.000 0.000
Os3 Os 0.000 0.500 0.000
```

---

(8)
DFT (GGA-PBE) results for a relaxed structure of MnFeAs.

Summary:
formation energy	240	meV per atom
symmetry	P3m1 (156)

The structure in CIF format:
```
data_MnFeAs
_cell_length_a 2.756
_cell_length_b 2.756
_cell_length_c 5.932
_cell_angle_alpha 90.00
_cell_angle_beta 90.00
_cell_angle_gamma 120.00
_symmetry_space_group_name_H-M 'P 1'
_symmetry_Int_Tables_number 1
loop_
_symmetry_equiv_pos_as_xyz
'x,y,z'
loop_
_atom_site_label
_atom_site_type_symbol
_atom_site_fract_x
_atom_site_fract_y
_atom_site_fract_z
Fe1 Fe 0.333 0.667 0.341
Mn1 Mn 0.667 0.333 0.660
As1 As 0.000 0.000 0.999
```

---

(9)
DFT (GGA-PBE) results for a relaxed structure of CeDyCd5.

Summary:
formation energy	-56	meV per atom
symmetry	C2/m (12)

The structure in CIF format:
```
data_CeDyCd5
_cell_length_a 5.576
_cell_length_b 5.576
_cell_length_c 6.796
_cell_angle_alpha 98.75
_cell_angle_beta 98.75
_cell_angle_gamma 111.71
_symmetry_space_group_name_H-M 'P 1'
_symmetry_Int_Tables_number 1
loop_
_symmetry_equiv_pos_as_xyz
'x,y,z'
loop_
_atom_site_label
_atom_site_type_symbol
_atom_site_fract_x
_atom_site_fract_y
_atom_site_fract_z
Dy1 Dy 0.500 0.500 0.500
Cd1 Cd 0.000 0.000 0.500
Cd2 Cd 0.936 0.501 0.236
Cd3 Cd 0.501 0.936 0.236
Cd4 Cd 0.064 0.499 0.764
Cd5 Cd 0.499 0.064 0.764
Ce1 Ce 0.000 0.000 0.000
```

---

(10)
DFT (GGA-PBE) results for a relaxed structure of Ca3W.

Summary:
formation energy	859	meV per atom
energy relative to the lowest polymorph listed for this composition	467	meV per atom
symmetry	Immm (71)

The structure in CIF format:
```
data_Ca3W
_cell_length_a 6.833
_cell_length_b 6.833
_cell_length_c 6.833
_cell_angle_alpha 149.66
_cell_angle_beta 129.87
_cell_angle_gamma 59.73
_symmetry_space_group_name_H-M 'P 1'
_symmetry_Int_Tables_number 1
loop_
_symmetry_equiv_pos_as_xyz
'x,y,z'
loop_
_atom_site_label
_atom_site_type_symbol
_atom_site_fract_x
_atom_site_fract_y
_atom_site_fract_z
Ca1 Ca 0.455 0.455 0.000
Ca2 Ca 0.750 0.250 0.500
Ca3 Ca 0.045 0.045 0.000
W1 W 0.250 0.750 0.500
```

---

(11)
DFT (GGA-PBE) results for a relaxed structure of Tb2Nd2Zn.

Summary:
formation energy	-128	meV per atom
energy relative to the lowest polymorph listed for this composition	0	meV per atom
symmetry	I4/mmm (139)

The structure in CIF format:
```
data_Tb2Nd2Zn
_cell_length_a 3.617
_cell_length_b 3.617
_cell_length_c 11.652
_cell_angle_alpha 98.93
_cell_angle_beta 98.93
_cell_angle_gamma 90.00
_symmetry_space_group_name_H-M 'P 1'
_symmetry_Int_Tables_number 1
loop_
_symmetry_equiv_pos_as_xyz
'x,y,z'
loop_
_atom_site_label
_atom_site_type_symbol
_atom_site_fract_x
_atom_site_fract_y
_atom_site_fract_z
Zn1 Zn 0.000 0.000 0.000
Nd1 Nd 0.192 0.192 0.384
Nd2 Nd 0.808 0.808 0.616
Tb1 Tb 0.423 0.423 0.846
Tb2 Tb 0.577 0.577 0.154
```

---

(12)
DFT (GGA-PBE) results for a relaxed structure of TbMgS3.

Summary:
E_form (uncorrected)	-1339	meV/atom
energy relative to the lowest polymorph listed for this composition	0	meV per atom
symmetry	R-3 (148)

The structure in CIF format:
```
data_TbMgS3
_cell_length_a 7.012
_cell_length_b 7.012
_cell_length_c 7.012
_cell_angle_alpha 58.12
_cell_angle_beta 58.12
_cell_angle_gamma 58.12
_symmetry_space_group_name_H-M 'P 1'
_symmetry_Int_Tables_number 1
loop_
_symmetry_equiv_pos_as_xyz
'x,y,z'
loop_
_atom_site_label
_atom_site_type_symbol
_atom_site_fract_x
_atom_site_fract_y
_atom_site_fract_z
S1 S 0.050 0.438 0.768
S2 S 0.438 0.768 0.050
Tb1 Tb 0.351 0.351 0.351
Mg1 Mg 0.151 0.151 0.151
S3 S 0.232 0.950 0.562
S4 S 0.768 0.050 0.438
Mg2 Mg 0.849 0.849 0.849
S5 S 0.950 0.562 0.232
S6 S 0.562 0.232 0.950
Tb2 Tb 0.649 0.649 0.649
```